Arrangement one

DFT (PBE-GGA) results for crystalline TbZnAg3 at its relaxed geometry.

Unit cell a=5.7606 b=5.7713 c=6.0363 alpha=90.00 beta=93.82 gamma=90.00
With the nearest neighbours (Å) after each atom.
Sites, in units of the cell vectors:
Tb1 0.1587 0.7500 0.6687  4 Zn 3.16-3.33, 10 Ag 3.16-3.42
Tb2 0.8413 0.2500 0.3313  4 Zn 3.16-3.33, 10 Ag 3.16-3.42
Zn1 0.9388 0.7500 0.1452  5 Ag 2.58-2.69
Zn2 0.0612 0.2500 0.8548  5 Ag 2.58-2.69
Ag1 0.6767 0.5014 0.8466  2 Zn 2.65-2.69, 5 Ag 2.82-2.90
Ag2 0.3233 0.4986 0.1534  2 Zn 2.65-2.69, 5 Ag 2.82-2.90
Ag3 0.6767 0.9986 0.8466  2 Zn 2.65-2.69, 5 Ag 2.82-2.90
Ag4 0.3233 0.0014 0.1534  2 Zn 2.65-2.69, 5 Ag 2.82-2.90
Ag5 0.6384 0.7500 0.4433  1 Zn 2.58, 4 Ag 2.82-2.84
Ag6 0.3616 0.2500 0.5567  1 Zn 2.58, 4 Ag 2.82-2.84

Properties
Crystal system = monoclinic

Arrangement two

DFT (PBE-GGA) results for crystalline TbZnAg3 at its relaxed geometry.

Unit cell a=6.7198 b=7.2083 c=8.5443 alpha=105.61 beta=90.00 gamma=90.00
With the nearest neighbours (Å) after each atom.
Sites, in units of the cell vectors:
Tb1 0.9924 0.6949 0.2632  8 Ag 2.99-3.16, 3 Zn 3.01-3.23
Tb2 0.0076 0.3051 0.7368  8 Ag 2.99-3.16, 3 Zn 3.01-3.23
Tb3 0.4924 0.3051 0.2368  8 Ag 2.99-3.16, 3 Zn 3.01-3.23
Tb4 0.5076 0.6949 0.7632  8 Ag 2.99-3.16, 3 Zn 3.01-3.23
Zn1 0.2131 0.8985 0.6013  5 Ag 2.60-2.77
Zn2 0.7869 0.1015 0.3987  5 Ag 2.60-2.77
Zn3 0.7131 0.1015 0.8987  5 Ag 2.60-2.77
Zn4 0.2869 0.8985 0.1013  5 Ag 2.60-2.77
Ag1 0.1842 0.1071 0.3966  3 Zn 2.60-2.67, 1 Ag 2.83
Ag2 0.8158 0.8929 0.6034  3 Zn 2.60-2.67, 1 Ag 2.83
Ag3 0.6842 0.8929 0.1034  3 Zn 2.60-2.67, 1 Ag 2.83
Ag4 0.3158 0.1071 0.8966  3 Zn 2.60-2.67, 1 Ag 2.83
Ag5 0.4916 0.7582 0.3588  2 Zn 2.77-2.99, 3 Ag 2.92-3.07
Ag6 0.5084 0.2418 0.6412  2 Zn 2.77-2.99, 3 Ag 2.92-3.07
Ag7 0.9916 0.2418 0.1412  2 Zn 2.77-2.99, 3 Ag 2.92-3.07
Ag8 0.0084 0.7582 0.8588  2 Zn 2.77-2.99, 3 Ag 2.92-3.07
Ag9 0.2122 0.5131 0.5050  1 Zn 2.68, 2 Ag 2.83-2.86, 1 Tb 2.99
Ag10 0.7878 0.4869 0.4950  1 Zn 2.68, 2 Ag 2.83-2.86, 1 Tb 2.99
Ag11 0.7122 0.4869 0.9950  1 Zn 2.68, 2 Ag 2.83-2.86, 1 Tb 2.99
Ag12 0.2878 0.5131 0.0050  1 Zn 2.68, 2 Ag 2.83-2.86, 1 Tb 2.99

Properties
Crystal system = monoclinic

Result of the stability comparison: arrangement two is the least stable of them.

Arrangement one

DFT (PBE-GGA) results for crystalline TbZn4Ag at its relaxed geometry.

Unit cell a=3.2596 b=8.2441 c=16.5396 alpha=90.00 beta=90.00 gamma=90.00
With the nearest neighbours (Å) after each atom.
Sites, in units of the cell vectors:
Tb1 0.0000 0.6223 0.3421  12 Zn 3.10-3.34, 2 Tb 3.26
Tb2 0.0000 0.3777 0.6579  12 Zn 3.10-3.34, 2 Tb 3.26
Tb3 0.0000 0.1223 0.1579  12 Zn 3.10-3.34, 2 Tb 3.26
Tb4 0.0000 0.8777 0.8421  12 Zn 3.10-3.34, 2 Tb 3.26
Zn1 0.5000 0.7835 0.1913  3 Zn 2.42-2.60
Zn2 0.5000 0.2165 0.8087  3 Zn 2.42-2.60
Zn3 0.5000 0.2835 0.3087  3 Zn 2.42-2.60
Zn4 0.5000 0.7165 0.6913  3 Zn 2.42-2.60
Zn5 0.5000 0.8823 0.0431  3 Zn 2.41-2.58
Zn6 0.5000 0.1177 0.9569  3 Zn 2.41-2.58
Zn7 0.5000 0.3823 0.4569  3 Zn 2.41-2.58
Zn8 0.5000 0.6177 0.5431  3 Zn 2.41-2.58
Zn9 0.5000 0.8608 0.4487  2 Zn 2.53-2.54, 4 Ag 2.77
Zn10 0.5000 0.1392 0.5513  2 Zn 2.53-2.54, 4 Ag 2.77
Zn11 0.5000 0.3608 0.0513  2 Zn 2.53-2.54, 4 Ag 2.77
Zn12 0.5000 0.6392 0.9487  2 Zn 2.53-2.54, 4 Ag 2.77
Zn13 0.5000 0.9684 0.3052  3 Zn 2.42-2.60
Zn14 0.5000 0.0316 0.6948  3 Zn 2.42-2.60
Zn15 0.5000 0.4684 0.1948  3 Zn 2.42-2.60
Zn16 0.5000 0.5316 0.8052  3 Zn 2.42-2.60
Ag1 0.0000 0.6243 0.0841  10 Zn 2.74-2.77
Ag2 0.0000 0.3757 0.9159  10 Zn 2.74-2.77
Ag3 0.0000 0.1243 0.4159  10 Zn 2.74-2.77
Ag4 0.0000 0.8757 0.5841  10 Zn 2.74-2.77

Properties
Crystal system = orthorhombic

Arrangement two

DFT (PBE-GGA) results for crystalline TbZn4Ag at its relaxed geometry.

Unit cell a=4.0637 b=6.6057 c=8.4979 alpha=90.00 beta=103.83 gamma=90.00
With the nearest neighbours (Å) after each atom.
Sites, in units of the cell vectors:
Tb1 0.1119 0.2500 0.2238  9 Zn 2.98-3.20, 2 Ag 3.22
Tb2 0.8881 0.7500 0.7762  9 Zn 2.98-3.20, 2 Ag 3.22
Zn1 0.5000 0.5000 0.0000  6 Zn 2.68-2.87
Zn2 0.5000 0.0000 0.0000  6 Zn 2.68-2.87
Zn3 0.6607 0.9440 0.3213  4 Zn 2.56-2.82, 3 Ag 2.64-2.71
Zn4 0.3393 0.0560 0.6787  4 Zn 2.56-2.82, 3 Ag 2.64-2.71
Zn5 0.3393 0.4440 0.6787  4 Zn 2.56-2.82, 3 Ag 2.64-2.71
Zn6 0.6607 0.5560 0.3213  4 Zn 2.56-2.82, 3 Ag 2.64-2.71
Zn7 0.0715 0.7500 0.1429  1 Ag 2.73, 8 Zn 2.82-2.87, 1 Tb 3.03
Zn8 0.9285 0.2500 0.8571  1 Ag 2.73, 8 Zn 2.82-2.87, 1 Tb 3.03
Ag1 0.2367 0.7500 0.4734  7 Zn 2.64-2.73
Ag2 0.7633 0.2500 0.5266  7 Zn 2.64-2.73

Properties
Crystal system = orthorhombic

Result of the stability comparison: arrangement one is the least stable of them.

Arrangement one

DFT (PBE-GGA) results for crystalline Tb4ZnAg at its relaxed geometry.

Unit cell a=4.9823 b=4.9828 c=7.1289 alpha=90.00 beta=90.00 gamma=90.00
With the nearest neighbours (Å) after each atom.
Sites, in units of the cell vectors:
Tb1 0.5012 0.9970 0.2537  2 Zn 3.04, 2 Ag 3.09
Tb2 0.5014 0.9975 0.7425  2 Zn 3.04, 2 Ag 3.09
Tb3 0.0014 0.4975 0.7425  2 Zn 3.04, 2 Ag 3.09
Tb4 0.0012 0.4971 0.2538  2 Zn 3.04, 2 Ag 3.09
Zn1 0.0013 0.9974 0.4980  8 Tb 3.04
Ag1 0.5013 0.4972 0.9982  8 Tb 3.09

Properties
Crystal system = tetragonal

Arrangement two

DFT (PBE-GGA) results for crystalline Tb4ZnAg at its relaxed geometry.

Unit cell a=3.5852 b=3.5852 c=12.4656 alpha=90.00 beta=90.00 gamma=90.00
With the nearest neighbours (Å) after each atom.
Sites, in units of the cell vectors:
Tb1 0.5000 0.5000 0.8572  4 Zn 3.10
Tb2 0.5000 0.5000 0.1428  4 Zn 3.10
Tb3 0.0000 0.0000 0.6515  4 Ag 3.16
Tb4 0.0000 0.0000 0.3485  4 Ag 3.16
Zn1 0.0000 0.0000 0.0000  8 Tb 3.10
Ag1 0.5000 0.5000 0.5000  8 Tb 3.16

Properties
Crystal system = tetragonal

Result of the stability comparison: arrangement one is the least stable of them.

Arrangement one

DFT (PBE-GGA) results for crystalline TcAg2 at its relaxed geometry.

Unit cell a=5.9699 b=3.8033 c=9.0602 alpha=90.00 beta=90.00 gamma=90.00
With the nearest neighbours (Å) after each atom.
Sites, in units of the cell vectors:
Tc1 0.0818 0.2500 0.9438  2 Tc 2.37
Tc2 0.4182 0.7500 0.4438  2 Tc 2.37
Tc3 0.5818 0.2500 0.5562  2 Tc 2.37
Tc4 0.9182 0.7500 0.0562  2 Tc 2.37
Ag1 0.1534 0.2500 0.2577  7 Ag 2.80-3.03, 5 Tc 2.88-2.99
Ag2 0.1045 0.2500 0.5910  7 Ag 2.80-3.03, 4 Tc 2.87-3.14
Ag3 0.3955 0.7500 0.0910  7 Ag 2.80-3.03, 4 Tc 2.87-3.14
Ag4 0.3466 0.7500 0.7577  7 Ag 2.80-3.03, 5 Tc 2.88-2.99
Ag5 0.6534 0.2500 0.2423  7 Ag 2.80-3.03, 5 Tc 2.88-2.99
Ag6 0.6045 0.2500 0.9090  7 Ag 2.80-3.03, 4 Tc 2.87-3.14
Ag7 0.8955 0.7500 0.4090  7 Ag 2.80-3.03, 4 Tc 2.87-3.14
Ag8 0.8466 0.7500 0.7423  7 Ag 2.80-3.03, 5 Tc 2.88-2.99

Properties
Crystal system = orthorhombic

Arrangement two

DFT (PBE-GGA) results for crystalline TcAg2 at its relaxed geometry.

Unit cell a=7.0469 b=7.0469 c=7.0469 alpha=157.89 beta=157.89 gamma=31.46
With the nearest neighbours (Å) after each atom.
Sites, in units of the cell vectors:
Ag1 0.9976 0.9976 0.0000  8 Ag 2.70-3.01, 4 Tc 2.94
Ag2 0.6690 0.6690 0.0000  8 Ag 2.70-3.01, 4 Tc 2.94
Tc1 0.3333 0.3333 0.0000  4 Tc 2.70, 8 Ag 2.94

Properties
Crystal system = tetragonal

Arrangement three

DFT (PBE-GGA) results for crystalline TcAg2 at its relaxed geometry.

Unit cell a=2.7917 b=2.7917 c=7.3201 alpha=90.00 beta=90.00 gamma=120.00
With the nearest neighbours (Å) after each atom.
Sites, in units of the cell vectors:
Ag1 0.0000 0.0000 0.0038  9 Ag 2.79-2.97, 3 Tc 2.90
Ag2 0.3333 0.6667 0.6628  9 Ag 2.79-2.97, 3 Tc 2.90
Tc1 0.6667 0.3333 0.3333  6 Tc 2.79, 6 Ag 2.90

Properties
Crystal system = trigonal

Arrangement four

DFT (PBE-GGA) results for crystalline TcAg2 at its relaxed geometry.

Unit cell a=4.6664 b=4.6664 c=5.6275 alpha=90.00 beta=90.00 gamma=120.00
With the nearest neighbours (Å) after each atom.
Sites, in units of the cell vectors:
Tc1 0.3333 0.6667 0.7500  5 Ag 2.69-2.81
Tc2 0.6667 0.3333 0.2500  5 Ag 2.69-2.81
Ag1 0.0000 0.0000 0.0000  8 Ag 2.81-3.04, 6 Tc 3.04
Ag2 0.0000 0.0000 0.5000  8 Ag 2.81-3.04, 6 Tc 3.04
Ag3 0.3333 0.6667 0.2500  5 Tc 2.69-2.81
Ag4 0.6667 0.3333 0.7500  5 Tc 2.69-2.81

Properties
Crystal system = hexagonal

Result of the stability comparison: arrangement four is the least stable of them.

Arrangement one

DFT (PBE-GGA) results for crystalline Tc2Ag at its relaxed geometry.

Unit cell a=5.4070 b=5.4070 c=6.6296 alpha=73.81 beta=73.81 gamma=29.95
With the nearest neighbours (Å) after each atom.
Sites, in units of the cell vectors:
Tc1 0.6212 0.6212 0.2779  7 Tc 2.72-2.79, 5 Ag 2.79-2.89
Tc2 0.9558 0.9558 0.6154  8 Tc 2.65-2.79, 3 Ag 2.74-2.83
Tc3 0.6595 0.6595 0.6666  7 Tc 2.65-2.79, 4 Ag 2.77-2.80
Tc4 0.2674 0.2674 0.9215  8 Tc 2.68-2.79, 3 Ag 2.76-2.93
Ag1 0.9924 0.9924 0.0076  4 Ag 2.73-2.79, 8 Tc 2.74-2.93
Ag2 0.3371 0.3371 0.3443  4 Ag 2.73-2.79, 7 Tc 2.77-2.87

Properties
Crystal system = monoclinic

Arrangement two

DFT (PBE-GGA) results for crystalline Tc2Ag at its relaxed geometry.

Unit cell a=6.1005 b=6.1005 c=4.1080 alpha=90.00 beta=90.00 gamma=141.31
With the nearest neighbours (Å) after each atom.
Sites, in units of the cell vectors:
Tc1 0.6125 0.3875 0.2500  4 Tc 2.56-2.60
Tc2 0.3875 0.6125 0.7500  4 Tc 2.56-2.60
Tc3 0.2491 0.7509 0.2500  4 Tc 2.56-2.60, 4 Ag 2.84-2.85
Tc4 0.7509 0.2491 0.7500  4 Tc 2.56-2.60, 4 Ag 2.84-2.85
Ag1 0.9228 0.0772 0.2500  2 Ag 2.72, 10 Tc 2.84-2.98
Ag2 0.0772 0.9228 0.7500  2 Ag 2.72, 10 Tc 2.84-2.98

Properties
Crystal system = orthorhombic

Result of the stability comparison: arrangement one is the least stable of them.

Arrangement one

DFT (PBE-GGA) results for crystalline Tc2Ag at its relaxed geometry.

Unit cell a=5.2469 b=5.2469 c=6.8134 alpha=76.28 beta=76.28 gamma=31.13
With the nearest neighbours (Å) after each atom.
Sites, in units of the cell vectors:
Tc1 0.0217 0.0217 0.6726  5 Tc 2.50-2.67
Tc2 0.9783 0.9783 0.3274  5 Tc 2.50-2.67
Tc3 0.6906 0.6906 0.3826  9 Tc 2.63-2.84, 2 Ag 2.93
Tc4 0.3094 0.3094 0.6174  9 Tc 2.63-2.84, 2 Ag 2.93
Ag1 0.6390 0.6390 0.9654  5 Ag 2.73-2.82, 7 Tc 2.92-3.01
Ag2 0.3610 0.3610 0.0346  5 Ag 2.73-2.82, 7 Tc 2.92-3.01

Properties
Crystal system = monoclinic

Arrangement two

DFT (PBE-GGA) results for crystalline Tc2Ag at its relaxed geometry.

Unit cell a=8.6977 b=8.6977 c=8.6977 alpha=156.26 beta=156.26 gamma=33.83
With the nearest neighbours (Å) after each atom.
Sites, in units of the cell vectors:
Tc1 0.4179 0.4179 0.0000  2 Tc 2.29
Tc2 0.5821 0.5821 0.0000  2 Tc 2.29
Tc3 0.1679 0.6679 0.5000  2 Tc 2.29
Tc4 0.3321 0.8321 0.5000  2 Tc 2.29
Ag1 0.7500 0.2500 0.5000  8 Tc 2.88
Ag2 0.0000 0.0000 0.0000  8 Tc 2.88

Properties
Crystal system = tetragonal

Result of the stability comparison: arrangement two is the least stable of them.

Arrangement one

DFT (PBE-GGA) results for crystalline Tc3Ag5 at its relaxed geometry.

Unit cell a=5.4643 b=10.4819 c=5.4997 alpha=97.00 beta=117.86 gamma=74.89
With the nearest neighbours (Å) after each atom.
Sites, in units of the cell vectors:
Tc1 0.3099 0.0236 0.5184  5 Tc 2.63-2.94, 4 Ag 2.84-2.92
Tc2 0.2910 0.9678 0.0316  5 Tc 2.63-2.94, 3 Ag 2.80-2.89
Tc3 0.0564 0.5000 0.9167  1 Tc 2.19
Tc4 0.6563 0.5000 0.9179  1 Tc 2.19
Tc5 0.7588 0.0322 0.0316  5 Tc 2.63-2.94, 3 Ag 2.80-2.89
Tc6 0.8334 0.9764 0.5184  5 Tc 2.63-2.94, 4 Ag 2.84-2.92
Ag1 0.1894 0.7240 0.7831  7 Ag 2.78-2.85, 4 Tc 2.81-2.92
Ag2 0.1579 0.7773 0.2792  6 Ag 2.76-2.85, 4 Tc 2.89-2.97
Ag3 0.1231 0.5000 0.4473  6 Ag 2.68-2.83, 4 Tc 2.77-2.85
Ag4 0.4134 0.2760 0.7831  7 Ag 2.78-2.85, 4 Tc 2.81-2.92
Ag5 0.6625 0.7791 0.7804  6 Ag 2.78-2.85, 3 Tc 2.84-3.08
Ag6 0.4351 0.2227 0.2792  6 Ag 2.76-2.85, 4 Tc 2.89-2.97
Ag7 0.6820 0.7327 0.2778  8 Ag 2.76-2.85, 3 Tc 2.80-2.94
Ag8 0.5811 0.5000 0.3839  4 Ag 2.68-2.82, 4 Tc 2.77-2.87
Ag9 0.9416 0.2209 0.7804  6 Ag 2.78-2.85, 3 Tc 2.84-3.08
Ag10 0.9146 0.2673 0.2778  8 Ag 2.76-2.85, 3 Tc 2.80-2.94

Properties
Crystal system = monoclinic

Arrangement two

DFT (PBE-GGA) results for crystalline Tc3Ag5 at its relaxed geometry.

Unit cell a=8.0855 b=8.0834 c=4.9481 alpha=90.00 beta=90.00 gamma=120.01
With the nearest neighbours (Å) after each atom.
Sites, in units of the cell vectors:
Tc1 0.0000 0.4277 0.7500  9 Ag 2.70-3.02, 2 Tc 2.74
Tc2 0.0000 0.5724 0.2500  9 Ag 2.71-3.02, 2 Tc 2.74
Tc3 0.4277 0.0000 0.7500  9 Ag 2.71-3.02, 2 Tc 2.74
Tc4 0.4277 0.4277 0.2500  9 Ag 2.70-3.02, 2 Tc 2.74
Tc5 0.5723 0.0000 0.2500  9 Ag 2.71-3.02, 2 Tc 2.74
Tc6 0.5723 0.5723 0.7500  9 Ag 2.71-3.02, 2 Tc 2.74
Ag1 0.0000 0.2137 0.2500  5 Tc 2.90-3.02, 6 Ag 2.99-3.02
Ag2 0.0000 0.7863 0.7500  5 Tc 2.90-3.02, 6 Ag 2.99-3.02
Ag3 0.2137 0.0000 0.2500  5 Tc 2.90-3.02, 6 Ag 2.99-3.02
Ag4 0.2137 0.2137 0.7500  5 Tc 2.90-3.02, 6 Ag 2.99-3.02
Ag5 0.3333 0.6666 0.0000  2 Ag 2.47, 6 Tc 2.70-2.71
Ag6 0.3333 0.6666 0.5000  2 Ag 2.47, 6 Tc 2.70-2.71
Ag7 0.6667 0.3334 0.0000  2 Ag 2.47, 6 Tc 2.71
Ag8 0.6667 0.3334 0.5000  2 Ag 2.47, 6 Tc 2.71
Ag9 0.7863 0.0000 0.7500  5 Tc 2.90-3.02, 6 Ag 2.99-3.02
Ag10 0.7863 0.7863 0.2500  5 Tc 2.90-3.02, 6 Ag 2.99-3.02

Properties
Crystal system = hexagonal

Result of the stability comparison: arrangement two is the least stable of them.

Arrangement one

DFT (PBE-GGA) results for crystalline Tc2AgTe2 at its relaxed geometry.

Unit cell a=7.7727 b=7.7727 c=3.1739 alpha=90.00 beta=90.00 gamma=90.00
With the nearest neighbours (Å) after each atom.
Sites, in units of the cell vectors:
Te1 0.3500 0.8500 0.0000  6 Tc 2.77-2.78, 2 Ag 2.96
Te2 0.8500 0.6500 0.0000  6 Tc 2.77-2.78, 2 Ag 2.96
Te3 0.6500 0.1500 0.0000  6 Tc 2.77-2.78, 2 Ag 2.96
Te4 0.1500 0.3500 0.0000  6 Tc 2.77-2.78, 2 Ag 2.96
Tc1 0.1434 0.6434 0.5000  6 Te 2.77-2.78
Tc2 0.6434 0.8566 0.5000  6 Te 2.77-2.78
Tc3 0.8566 0.3566 0.5000  6 Te 2.77-2.78
Tc4 0.3566 0.1434 0.5000  6 Te 2.77-2.78
Ag1 0.0000 0.0000 0.0000  4 Te 2.96, 2 Ag 3.17
Ag2 0.5000 0.5000 0.0000  4 Te 2.96, 2 Ag 3.17

Properties
Crystal system = tetragonal

Arrangement two

DFT (PBE-GGA) results for crystalline Tc2AgTe2 at its relaxed geometry.

Unit cell a=4.3214 b=4.3214 c=6.8901 alpha=71.72 beta=71.72 gamma=90.00
With the nearest neighbours (Å) after each atom.
Sites, in units of the cell vectors:
Te1 0.3692 0.3692 0.2615  4 Tc 2.61
Te2 0.6308 0.6308 0.7385  4 Tc 2.61
Tc1 0.7500 0.2500 0.5000  4 Te 2.61
Tc2 0.2500 0.7500 0.5000  4 Te 2.61
Ag1 0.0000 0.0000 0.0000  8 Te 3.46, 8 Tc 3.77

Properties
Crystal system = tetragonal

Result of the stability comparison: arrangement one is the least stable of them.